! PmSm3Tm2 | the Alexandria database | PBE | relaxed; values from VASP
! Symmetry: C2/c (15)
! Crystal system: monoclinic
! Energy of formation from the pure elements: 20 meV per atom
! Uncorrected energy: -4.62 eV/atom
! Offset from the most stable computed form: 0.000 eV per atom
&SYSTEM
  ibrav = 0, nat = 12, ntyp = 3
/
ATOMIC_SPECIES
Pm 145.00 Pm.upf
Sm 150.36 Sm.upf
Tm 168.93 Tm.upf
CELL_PARAMETERS angstrom
8.786 -3.583 0.000
8.786 3.583 0.000
-0.019 0.000 6.202
ATOMIC_POSITIONS crystal
Pm 0.126 0.874 0.750
Pm 0.874 0.126 0.250
Sm 0.042 0.294 0.916
Sm 0.294 0.042 0.416
Sm 0.376 0.624 0.250
Sm 0.624 0.376 0.750
Sm 0.706 0.958 0.584
Sm 0.958 0.706 0.084
Tm 0.208 0.457 0.582
Tm 0.457 0.208 0.082
Tm 0.543 0.792 0.918
Tm 0.792 0.543 0.418